# 1
# Hf2BiAs

A relaxed structure of Hf2BiAs (PBE, the Alexandria database).

- Formation enthalpy at 0 K: -219 meV per atom

Cell: 6.995 6.995 6.995 Å, 90.00 90.00 90.00°
Fractional positions:
Hf (0.250, 0.250, 0.250)
Hf (0.250, 0.250, 0.750)
Hf (0.250, 0.750, 0.250)
Hf (0.250, 0.750, 0.750)
Hf (0.750, 0.250, 0.250)
Hf (0.750, 0.250, 0.750)
Hf (0.750, 0.750, 0.250)
Hf (0.750, 0.750, 0.750)
Bi (0.000, 0.000, 0.000)
Bi (0.000, 0.500, 0.500)
Bi (0.500, 0.000, 0.500)
Bi (0.500, 0.500, 0.000)
As (0.000, 0.000, 0.500)
As (0.000, 0.500, 0.000)
As (0.500, 0.000, 0.000)
As (0.500, 0.500, 0.500)

# 2
# Hf4Bi2As

A relaxed structure of Hf4Bi2As (PBE, the Alexandria database).

- Formation enthalpy at 0 K: -320 meV per atom
- Energy above the lowest structure with this stoichiometry: 0 meV per atom

Cell: 7.931 11.312 3.692 Å, 90.00 90.00 90.00°
Fractional positions:
Hf (0.130, 0.215, 0.000)
Hf (0.202, 0.911, 0.500)
Hf (0.298, 0.411, 0.500)
Hf (0.370, 0.715, 0.000)
Hf (0.630, 0.285, 0.000)
Hf (0.702, 0.589, 0.500)
Hf (0.798, 0.089, 0.500)
Hf (0.870, 0.785, 0.000)
Bi (0.087, 0.642, 0.500)
Bi (0.413, 0.142, 0.500)
Bi (0.587, 0.858, 0.500)
Bi (0.913, 0.358, 0.500)
As (0.000, 0.000, 0.000)
As (0.500, 0.500, 0.000)

# 3
# HfBi3As

A relaxed structure of HfBi3As (PBE, the Alexandria database).

- Formation enthalpy at 0 K: 843 meV per atom
- Energy above the lowest structure with this stoichiometry: 195 meV per atom

Cell: 5.438 5.438 5.438 Å, 90.00 90.00 90.00°
Fractional positions:
Hf (0.000, 0.000, 0.000)
Bi (0.000, 0.500, 0.500)
Bi (0.500, 0.000, 0.500)
Bi (0.500, 0.500, 0.000)
As (0.500, 0.500, 0.500)

# 4
# HfBiAs3

A relaxed structure of HfBiAs3 (PBE, the Alexandria database).

- Formation enthalpy at 0 K: 199 meV per atom
- Energy above the lowest structure with this stoichiometry: 0 meV per atom

Cell: 5.158 5.158 5.158 Å, 90.00 90.00 90.00°
Fractional positions:
Hf (0.000, 0.000, 0.000)
Bi (0.500, 0.500, 0.500)
As (0.000, 0.000, 0.500)
As (0.000, 0.500, 0.000)
As (0.500, 0.000, 0.000)

# 5
# Hf2BiAs2

A relaxed structure of Hf2BiAs2 (PBE, the Alexandria database).

- Formation enthalpy at 0 K: -383 meV per atom
- Energy above the lowest structure with this stoichiometry: 177 meV per atom

Cell: 7.848 7.848 3.446 Å, 90.00 90.00 90.00°
Fractional positions:
Hf (0.150, 0.350, 0.000)
Hf (0.350, 0.850, 0.000)
Hf (0.650, 0.150, 0.000)
Hf (0.850, 0.650, 0.000)
Bi (0.000, 0.000, 0.500)
Bi (0.500, 0.500, 0.500)
As (0.138, 0.638, 0.500)
As (0.362, 0.138, 0.500)
As (0.638, 0.862, 0.500)
As (0.862, 0.362, 0.500)

# 6
# HfBi3As

A relaxed structure of HfBi3As (PBE, the Alexandria database).

- Formation enthalpy at 0 K: 648 meV per atom
- Energy above the lowest structure with this stoichiometry: 0 meV per atom

Cell: 5.605 5.605 5.605 Å, 90.00 90.00 90.00°
Fractional positions:
Hf (0.000, 0.000, 0.000)
Bi (0.000, 0.000, 0.500)
Bi (0.000, 0.500, 0.000)
Bi (0.500, 0.000, 0.000)
As (0.500, 0.500, 0.500)

# 7
# Hf5BiAs

A relaxed structure of Hf5BiAs (PBE, the Alexandria database).

- Formation enthalpy at 0 K: -55 meV per atom

Cell: 5.961 5.961 10.342 Å, 103.31 103.31 64.64°
Fractional positions:
Hf (0.050, 0.402, 0.640)
Hf (0.082, 0.918, 0.750)
Hf (0.229, 0.502, 0.958)
Hf (0.402, 0.050, 0.140)
Hf (0.498, 0.771, 0.542)
Hf (0.502, 0.229, 0.458)
Hf (0.598, 0.950, 0.860)
Hf (0.771, 0.498, 0.042)
Hf (0.918, 0.082, 0.250)
Hf (0.950, 0.598, 0.360)
Bi (0.422, 0.578, 0.250)
Bi (0.578, 0.422, 0.750)
As (0.000, 0.000, 0.000)
As (0.000, 0.000, 0.500)

# 8
# HfBi2As

A relaxed structure of HfBi2As (PBE, the Alexandria database).

- Formation enthalpy at 0 K: 540 meV per atom

Cell: 6.699 6.699 13.280 Å, 90.00 90.00 90.00°
Fractional positions:
Hf (0.000, 0.000, 0.000)
Hf (0.000, 0.500, 0.250)
Hf (0.500, 0.000, 0.750)
Hf (0.500, 0.500, 0.500)
Bi (0.250, 0.250, 0.125)
Bi (0.250, 0.250, 0.625)
Bi (0.250, 0.750, 0.375)
Bi (0.250, 0.750, 0.875)
Bi (0.750, 0.250, 0.375)
Bi (0.750, 0.250, 0.875)
Bi (0.750, 0.750, 0.125)
Bi (0.750, 0.750, 0.625)
As (0.000, 0.000, 0.500)
As (0.000, 0.500, 0.750)
As (0.500, 0.000, 0.250)
As (0.500, 0.500, 0.000)

# 9
# Hf4Bi2As

A relaxed structure of Hf4Bi2As (PBE, the Alexandria database).

- Formation enthalpy at 0 K: 199 meV per atom
- Energy above the lowest structure with this stoichiometry: 520 meV per atom

Cell: 4.890 4.890 15.255 Å, 90.00 90.00 90.00°
Fractional positions:
Hf (0.000, 0.000, 0.168)
Hf (0.000, 0.000, 0.832)
Hf (0.000, 0.500, 0.000)
Hf (0.000, 0.500, 0.500)
Hf (0.500, 0.000, 0.000)
Hf (0.500, 0.000, 0.500)
Hf (0.500, 0.500, 0.332)
Hf (0.500, 0.500, 0.668)
Bi (0.000, 0.000, 0.360)
Bi (0.000, 0.000, 0.640)
Bi (0.500, 0.500, 0.140)
Bi (0.500, 0.500, 0.860)
As (0.000, 0.000, 0.000)
As (0.500, 0.500, 0.500)

# 10
# Hf2BiAs

A relaxed structure of Hf2BiAs (PBE, the Alexandria database).

- Formation enthalpy at 0 K: -570 meV per atom

Cell: 3.899 3.899 20.720 Å, 90.00 90.00 120.00°
Fractional positions:
Hf (0.000, 0.000, 0.000)
Hf (0.000, 0.000, 0.195)
Hf (0.333, 0.667, 0.667)
Hf (0.333, 0.667, 0.862)
Hf (0.667, 0.333, 0.333)
Hf (0.667, 0.333, 0.529)
Bi (0.000, 0.000, 0.765)
Bi (0.333, 0.667, 0.432)
Bi (0.667, 0.333, 0.098)
As (0.000, 0.000, 0.596)
As (0.333, 0.667, 0.263)
As (0.667, 0.333, 0.930)

# 11
# Hf6Bi3As

A relaxed structure of Hf6Bi3As (PBE, the Alexandria database).

- Formation enthalpy at 0 K: -72 meV per atom

Cell: 8.856 8.856 6.699 Å, 90.00 90.00 107.87°
Fractional positions:
Hf (0.034, 0.966, 0.500)
Hf (0.070, 0.593, 0.452)
Hf (0.249, 0.751, 0.878)
Hf (0.273, 0.416, 0.914)
Hf (0.407, 0.930, 0.452)
Hf (0.416, 0.273, 0.414)
Hf (0.584, 0.727, 0.914)
Hf (0.593, 0.070, 0.952)
Hf (0.727, 0.584, 0.414)
Hf (0.751, 0.249, 0.378)
Hf (0.930, 0.407, 0.952)
Hf (0.966, 0.034, 0.000)
Bi (0.103, 0.291, 0.291)
Bi (0.291, 0.103, 0.791)
Bi (0.403, 0.597, 0.542)
Bi (0.597, 0.403, 0.042)
Bi (0.709, 0.897, 0.291)
Bi (0.897, 0.709, 0.791)
As (0.145, 0.855, 0.203)
As (0.855, 0.145, 0.703)

# 12
# Hf2BiAs2

A relaxed structure of Hf2BiAs2 (PBE, the Alexandria database).

- Formation enthalpy at 0 K: -559 meV per atom
- Energy above the lowest structure with this stoichiometry: 0 meV per atom

Cell: 7.815 7.815 3.474 Å, 90.00 90.00 90.00°
Fractional positions:
Hf (0.149, 0.351, 0.000)
Hf (0.351, 0.851, 0.000)
Hf (0.649, 0.149, 0.000)
Hf (0.851, 0.649, 0.000)
Bi (0.000, 0.000, 0.000)
Bi (0.500, 0.500, 0.000)
As (0.138, 0.638, 0.500)
As (0.362, 0.138, 0.500)
As (0.638, 0.862, 0.500)
As (0.862, 0.362, 0.500)

# 13
# Hf2BiAs

A relaxed structure of Hf2BiAs (PBE, the Alexandria database).

- Formation enthalpy at 0 K: -509 meV per atom

Cell: 3.981 3.981 20.119 Å, 90.00 90.00 120.00°
Fractional positions:
Hf (0.000, 0.000, 0.233)
Hf (0.000, 0.000, 0.767)
Hf (0.333, 0.667, 0.433)
Hf (0.333, 0.667, 0.900)
Hf (0.667, 0.333, 0.100)
Hf (0.667, 0.333, 0.567)
Bi (0.000, 0.000, 0.000)
Bi (0.333, 0.667, 0.667)
Bi (0.667, 0.333, 0.333)
As (0.000, 0.000, 0.500)
As (0.333, 0.667, 0.167)
As (0.667, 0.333, 0.833)

# 14
# Hf2BiAsIr

A relaxed structure of Hf2BiAsIr (PBE, the Alexandria database).

- Formation enthalpy at 0 K: 1515 meV per atom

Cell: 5.389 5.389 4.865 Å, 90.00 90.00 90.00°
Fractional positions:
Hf (0.000, 0.500, 0.000)
Hf (0.500, 0.000, 0.000)
Bi (0.000, 0.000, 0.000)
As (0.500, 0.500, 0.500)
Ir (0.000, 0.000, 0.500)

# 15
# NaHfBi2As

A relaxed structure of NaHfBi2As (PBE, the Alexandria database).

- Formation enthalpy at 0 K: 1165 meV per atom

Cell: 5.219 5.219 5.428 Å, 90.00 90.00 90.00°
Fractional positions:
Na (0.000, 0.000, 0.000)
Hf (0.000, 0.000, 0.500)
Bi (0.000, 0.500, 0.000)
Bi (0.500, 0.000, 0.000)
As (0.500, 0.500, 0.500)

# 16
# HfNb2BiAs

A relaxed structure of HfNb2BiAs (PBE, the Alexandria database).

- Formation enthalpy at 0 K: 454 meV per atom

Cell: 4.806 4.806 5.054 Å, 90.00 90.00 90.00°
Fractional positions:
Hf (0.000, 0.000, 0.000)
Nb (0.000, 0.500, 0.500)
Nb (0.500, 0.000, 0.500)
Bi (0.500, 0.500, 0.000)
As (0.000, 0.000, 0.500)

# 17
# HfNi2BiAs

A relaxed structure of HfNi2BiAs (PBE, the Alexandria database).

- Formation enthalpy at 0 K: 61 meV per atom

Cell: 4.416 4.416 5.069 Å, 90.00 90.00 90.00°
Fractional positions:
Hf (0.000, 0.000, 0.000)
Ni (0.000, 0.500, 0.500)
Ni (0.500, 0.000, 0.500)
Bi (0.500, 0.500, 0.000)
As (0.000, 0.000, 0.500)

# 18
# HfBi2AsP

A relaxed structure of HfBi2AsP (PBE, the Alexandria database).

- Formation enthalpy at 0 K: 716 meV per atom

Cell: 5.659 5.659 4.999 Å, 90.00 90.00 90.00°
Fractional positions:
Hf (0.000, 0.000, 0.000)
Bi (0.000, 0.500, 0.000)
Bi (0.500, 0.000, 0.000)
As (0.000, 0.000, 0.500)
P (0.500, 0.500, 0.500)

# 19
# HfBiSbAs2

A relaxed structure of HfBiSbAs2 (PBE, the Alexandria database).

- E_tot: -25.6 eV/cell

Cell: 5.089 5.089 5.795 Å, 90.00 90.00 90.00°
Fractional positions:
Hf (0.000, 0.000, 0.000)
Bi (0.000, 0.000, 0.500)
Sb (0.500, 0.500, 0.500)
As (0.000, 0.500, 0.000)
As (0.500, 0.000, 0.000)

# 20
# HfBiAsSe2

A relaxed structure of HfBiAsSe2 (PBE, the Alexandria database).

- Energy above the lowest structure with this stoichiometry: 1069 meV per atom

Cell: 5.325 5.325 5.321 Å, 90.00 90.00 90.00°
Fractional positions:
Hf (0.000, 0.000, 0.000)
Bi (0.500, 0.500, 0.500)
As (0.500, 0.500, 0.000)
Se (0.000, 0.500, 0.500)
Se (0.500, 0.000, 0.500)